Compound: Sr2Mn
Source: Alexandria via LeMat-Bulk
Functional: PBE
Structure: relaxed

Values from the calculation:
Energy of formation from the pure elements in eV per atom: 1.007
Energy in eV/atom: -3.171

a b c (Å): 7.190 7.190 11.426
angles (deg): 90.00 90.00 120.00
Last column: magnetic moment on the atom in μB.
Element x y z (fractional)
Mn 0.333 0.667 0.473  4.32
Mn 0.667 0.333 0.973  4.32
Mn 0.667 0.333 0.527  4.32
Mn 0.333 0.667 0.027  4.32
Sr 0.000 0.000 0.000  -0.04
Sr 0.824 0.649 0.250  -0.05
Sr 0.824 0.176 0.250  -0.05
Sr 0.176 0.351 0.750  -0.05
Sr 0.351 0.176 0.250  -0.05
Sr 0.000 0.000 0.500  -0.04
Sr 0.649 0.824 0.750  -0.05
Sr 0.176 0.824 0.750  -0.05